Here is a relaxed structure of In12Sn2Bi from Alexandria. Energies are from PBE-GGA.

Results
Electronic total energy, Ry per atom: -0.2164
Magnetization, Bohr magnetons per cell: 0.0
Crystal system: triclinic
ΔE_f, eV per formula unit: 0.57

Cell and atoms, written as CIF:
```
data_In12Sn2Bi
_symmetry_space_group_name_H-M 'P 1'
_symmetry_Int_Tables_number 1
_cell_length_a 9.1696
_cell_length_b 6.7235
_cell_length_c 13.9438
_cell_angle_alpha 90.40
_cell_angle_beta 89.31
_cell_angle_gamma 92.16
loop_
_symmetry_equiv_pos_as_xyz
'x,y,z'
loop_
_atom_site_label
_atom_site_type_symbol
_atom_site_fract_x
_atom_site_fract_y
_atom_site_fract_z
Sn1 Sn 0.4400 0.9186 0.7170
In1 In 0.7001 0.2389 0.8565
In2 In 0.1908 0.0956 0.5910
In3 In 0.1627 0.8662 0.0834
In4 In 0.1977 0.3533 0.0962
In5 In 0.8068 0.0160 0.6641
In6 In 0.3135 0.8976 0.3941
Sn2 Sn 0.4470 0.1880 0.2242
In7 In 0.4472 0.4146 0.7240
In8 In 0.5606 0.2021 0.5305
In9 In 0.8067 0.7659 0.1546
In10 In 0.1865 0.6024 0.6059
In11 In 0.8081 0.5206 0.6537
In12 In 0.6932 0.4840 0.3359
In13 In 0.0528 0.0854 0.2760
Sn3 Sn 0.0530 0.3120 0.7758
In14 In 0.3373 0.6338 0.9166
In15 In 0.4337 0.6736 0.2033
In16 In 0.9394 0.2979 0.4695
Bi1 Bi 0.5627 0.9693 0.0285
In17 In 0.9443 0.7997 0.4749
In18 In 0.6933 0.7341 0.8454
Sn4 Sn 0.0600 0.5814 0.2830
Bi2 Bi 0.9373 0.5307 0.9715
In19 In 0.3092 0.4044 0.4090
In20 In 0.0663 0.8264 0.7967
In21 In 0.6919 0.9794 0.3463
In22 In 0.3023 0.1467 0.9038
In23 In 0.5557 0.7003 0.5251
In24 In 0.7999 0.2611 0.1435
```

Here is a relaxed structure of SrLaN2 from Alexandria. Energies are from PBE-GGA.

Results
Electronic total energy, Ry per atom: -0.4741
Magnetization, Bohr magnetons per cell: 2.0
Crystal system: tetragonal

Cell and atoms, written as CIF:
```
data_SrLaN2
_symmetry_space_group_name_H-M 'P 1'
_symmetry_Int_Tables_number 1
_cell_length_a 5.7761
_cell_length_b 5.7761
_cell_length_c 6.8616
_cell_angle_alpha 65.11
_cell_angle_beta 65.11
_cell_angle_gamma 90.00
loop_
_symmetry_equiv_pos_as_xyz
'x,y,z'
loop_
_atom_site_label
_atom_site_type_symbol
_atom_site_fract_x
_atom_site_fract_y
_atom_site_fract_z
Sr1 Sr 0.5000 0.5000 0.0000
N1 N 0.6521 0.1250 0.2500
N2 N 0.3750 0.3479 0.7500
N3 N 0.0979 0.6250 0.2500
Sr2 Sr 0.2500 0.7500 0.5000
N4 N 0.8750 0.9021 0.7500
La1 La 0.0000 0.0000 0.0000
La2 La 0.7500 0.2500 0.5000
```

Here is a relaxed structure of Nd4NiTe from Alexandria. Energies are from PBE-GGA.

Results
Electronic total energy, Ry per atom: -0.3735
Magnetization, Bohr magnetons per cell: 0.0
Crystal system: monoclinic

Cell and atoms, written as CIF:
```
data_Nd4NiTe
_symmetry_space_group_name_H-M 'P 1'
_symmetry_Int_Tables_number 1
_cell_length_a 7.2261
_cell_length_b 7.3448
_cell_length_c 7.2919
_cell_angle_alpha 90.00
_cell_angle_beta 92.38
_cell_angle_gamma 90.00
loop_
_symmetry_equiv_pos_as_xyz
'x,y,z'
loop_
_atom_site_label
_atom_site_type_symbol
_atom_site_fract_x
_atom_site_fract_y
_atom_site_fract_z
Nd1 Nd 0.1851 0.8337 0.6386
Nd2 Nd 0.6851 0.6663 0.6386
Nd3 Nd 0.3149 0.3337 0.3614
Ni1 Ni 0.0000 0.5000 0.5000
Nd4 Nd 0.1249 0.3625 0.8290
Te1 Te 0.0000 0.0000 0.0000
Nd5 Nd 0.3751 0.8625 0.1710
Nd6 Nd 0.6249 0.1375 0.8290
Nd7 Nd 0.8751 0.6375 0.1710
Te2 Te 0.5000 0.5000 0.0000
Ni2 Ni 0.5000 0.0000 0.5000
Nd8 Nd 0.8149 0.1663 0.3614
```

Here is a relaxed structure of BeNiTe from Alexandria. Energies are from PBE-GGA.

Results
Electronic total energy, Ry per atom: -0.3170
Magnetization, Bohr magnetons per cell: 0.0
Crystal system: triclinic

Cell and atoms, written as CIF:
```
data_BeNiTe
_symmetry_space_group_name_H-M 'P 1'
_symmetry_Int_Tables_number 1
_cell_length_a 4.1576
_cell_length_b 3.9800
_cell_length_c 6.4530
_cell_angle_alpha 100.63
_cell_angle_beta 77.31
_cell_angle_gamma 103.38
loop_
_symmetry_equiv_pos_as_xyz
'x,y,z'
loop_
_atom_site_label
_atom_site_type_symbol
_atom_site_fract_x
_atom_site_fract_y
_atom_site_fract_z
Te1 Te 0.4265 0.2256 0.9614
Be1 Be 0.2939 0.6210 0.7345
Be2 Be 0.9906 0.0475 0.7223
Te2 Te 0.7663 0.8695 0.3681
Ni1 Ni 0.3363 0.2639 0.4089
Ni2 Ni 0.8090 0.4731 0.6228
```

Here is a relaxed structure of K2MnAlSe from Alexandria. Energies are from PBE-GGA.

Results
Electronic total energy, Ry per atom: -0.2476
Magnetization, Bohr magnetons per cell: 4.1
Crystal system: tetragonal

Cell and atoms, written as CIF:
```
data_K2MnAlSe
_symmetry_space_group_name_H-M 'P 1'
_symmetry_Int_Tables_number 1
_cell_length_a 6.2078
_cell_length_b 5.1286
_cell_length_c 6.2078
_cell_angle_alpha 90.00
_cell_angle_beta 90.00
_cell_angle_gamma 90.00
loop_
_symmetry_equiv_pos_as_xyz
'x,y,z'
loop_
_atom_site_label
_atom_site_type_symbol
_atom_site_fract_x
_atom_site_fract_y
_atom_site_fract_z
Al1 Al 0.0000 0.5000 0.0000
K1 K 0.5000 0.0000 0.0000
Mn1 Mn 0.5000 0.5000 0.5000
K2 K 0.0000 0.0000 0.5000
Se1 Se 0.0000 0.0000 0.0000
```

Here is a relaxed structure of CaBeTl from Alexandria. Energies are from PBE-GGA.

Results
Electronic total energy, Ry per atom: -0.1877
ΔE to the lowest computed polymorph, kJ/mol of formula units: 40.5
Magnetization, Bohr magnetons per cell: 0.0
Crystal system: cubic
ΔE_f, eV per formula unit: 0.43

Cell and atoms, written as CIF:
```
data_CaBeTl
_symmetry_space_group_name_H-M 'P 1'
_symmetry_Int_Tables_number 1
_cell_length_a 4.6539
_cell_length_b 4.6539
_cell_length_c 4.6539
_cell_angle_alpha 60.00
_cell_angle_beta 60.00
_cell_angle_gamma 60.00
loop_
_symmetry_equiv_pos_as_xyz
'x,y,z'
loop_
_atom_site_label
_atom_site_type_symbol
_atom_site_fract_x
_atom_site_fract_y
_atom_site_fract_z
Ca1 Ca 0.0000 0.0000 0.0000
Be1 Be 0.7500 0.7500 0.7500
Tl1 Tl 0.5000 0.5000 0.5000
```